PmNd2Er4Sc: relaxed, PBE.

SG: C2/c, No. 15
raw total energy: -71.077 eV/cell
formation enthalpy at 0 K: 0.4164 eV/atom
M_tot: 1.2 μB/f.u.
density of states at the Fermi level: 36.3 states/eV per cell

```
PmNd2Er4Sc
1.0
-1.005 6.192 7.017
-7.122 4.290 -4.412
2.317 -11.465 0.669
Pm Nd Er Sc
2 4 8 2
Cartesian
-3.561 2.145 -2.206 Pm
-3.407 2.605 5.145 Pm
-0.502 3.096 3.508 Nd
0.656 -2.636 3.843 Nd
1.158 -5.732 0.334 Nd
-4.063 5.241 1.302 Nd
-3.364 -6.723 -1.050 Er
-1.463 -0.047 4.331 Er
-4.347 -0.936 -1.058 Er
-2.446 5.740 4.323 Er
-3.811 -3.414 2.608 Er
-4.903 1.940 2.302 Er
-0.906 -2.923 0.971 Er
-1.999 2.431 0.665 Er
-2.905 -0.491 1.637 Sc
1.312 -5.272 7.685 Sc
```

TlCu2S: relaxed, PBE.

SG: Fm-3m, No. 225
distance to the lowest polymorph of the same formula: 282.2 meV per atom
raw total energy: -13.316 eV/cell
M_tot: 0.0 μB/f.u.
density of states at the Fermi level: 0.9 states/eV per cell

```
TlCu2S
1.0
0.686 -2.240 3.986
2.554 1.939 3.331
-2.018 1.510 3.876
Tl S Cu
1 1 2
Cartesian
0.611 0.604 5.597 Tl
0.000 0.000 0.000 S
0.305 0.302 2.799 Cu
0.916 0.906 8.396 Cu
```

CsAgSnSe3: relaxed, PBE.

SG: C2/m, No. 12
raw total energy: -41.967 eV/cell
M_tot: 0.0 μB/f.u.

```
CsAgSnSe3
1.0
7.707 -0.099 -0.150
3.524 6.855 -0.150
2.928 1.761 8.236
Cs Ag Sn Se
2 2 2 6
Cartesian
10.322 6.209 6.369 Cs
3.837 2.308 1.566 Cs
6.168 5.774 3.968 Ag
7.991 2.744 3.968 Ag
2.978 1.792 6.029 Sn
11.181 6.726 1.906 Sn
4.939 2.971 5.166 Se
6.493 6.192 6.432 Se
8.513 2.834 6.432 Se
5.647 5.683 1.503 Se
7.667 2.325 1.503 Se
9.220 5.546 2.769 Se
```